# 1
WI3Cl: relaxed, GGA-PBEsol.

```
5
Lattice="5.520 0.000 0.000 0.000 5.520 0.000 0.000 0.000 5.520" Properties=species:S:1:pos:R:3 pbc="T T T"
W 0.000 0.000 0.000
I 0.000 2.760 2.760
I 2.760 0.000 2.760
I 2.760 2.760 0.000
Cl 2.760 2.760 2.760
```

Results
The spin magnetization is 0.932 μB per atom. The uncorrected energy is -12.760 eV/cell. Its density of states at the Fermi level is 9.129 states/eV/cell.



# 2
WICl2: relaxed, GGA-PBEsol.

```
4
Lattice="0.000 3.460 3.460 3.460 0.000 3.460 3.460 3.460 0.000" Properties=species:S:1:pos:R:3 pbc="T T T"
W 0.000 0.000 0.000
I 3.460 3.460 3.460
Cl 1.730 1.730 1.730
Cl 5.191 5.191 5.191
```

Results
The spin magnetization is 0.726 μB per atom. The uncorrected energy is -14.893 eV/cell. Its density of states at the Fermi level is 3.198 states/eV/cell.



# 3
Y2ICl: relaxed, GGA-PBEsol.

```
8
Lattice="-2.484 2.484 9.559 2.484 -2.484 9.559 2.484 2.484 -9.559" Properties=species:S:1:pos:R:3 pbc="T T T"
Y 3.726 1.152 -2.390
Y 1.152 1.242 2.390
Y -1.242 1.332 7.169
Y 1.332 1.242 11.948
I 2.484 0.000 4.779
I 0.000 0.000 9.559
Cl 0.000 0.000 0.000
Cl 0.000 2.484 4.779
```

Results
The spin magnetization is 0.000 μB per atom. The uncorrected energy is -41.040 eV/cell. Its density of states at the Fermi level is 7.477 states/eV/cell.



# 4
ZrICl3: relaxed, GGA-PBEsol.

```
5
Lattice="5.014 0.000 0.000 0.000 5.014 0.000 0.000 0.000 5.014" Properties=species:S:1:pos:R:3 pbc="T T T"
Zr 0.000 0.000 0.000
I 2.507 2.507 2.507
Cl 0.000 0.000 2.507
Cl 0.000 2.507 0.000
Cl 2.507 0.000 0.000
```

Results
The spin magnetization is 0.102 μB per atom. The uncorrected energy is -22.214 eV/cell. Its density of states at the Fermi level is 7.186 states/eV/cell.



# 5
InCl: relaxed, GGA-PBEsol.

```
4
Lattice="2.470 1.426 5.452 -2.470 1.426 5.452 0.000 -2.852 5.452" Properties=species:S:1:pos:R:3 pbc="T T T"
In 0.000 0.000 3.645
In 0.000 0.000 12.712
Cl 0.000 0.000 6.419
Cl 0.000 0.000 9.937
```

Results
The spin magnetization is 0.000 μB per atom. The uncorrected energy is -12.874 eV/cell.



# 6
In4Cl: relaxed, GGA-PBEsol.

```
5
Lattice="-3.361 3.361 3.361 3.361 -3.361 3.361 3.361 3.361 -3.361" Properties=species:S:1:pos:R:3 pbc="T T T"
In 1.681 1.681 -1.681
In 1.681 -1.681 1.681
In -1.681 1.681 1.681
In 1.681 1.681 1.681
Cl 0.000 0.000 0.000
```

Results
The spin magnetization is 0.000 μB per atom. The uncorrected energy is -13.707 eV/cell. Its density of states at the Fermi level is 2.873 states/eV/cell.